Entry 1:
The following is a PBE calculation of a geometry-optimized CaLa12Sm3 structure, from Alexandria.

Lattice parameters (Å, degrees): 5.2630 5.2630 21.0447 90.00 90.00 90.00
Space group P4/mmm (No. 123)
One atom of each set of equivalent atoms:
Ca 0.0000 0.0000 0.0000 (multiplicity 1)
La 0.0000 0.5000 0.1292 (multiplicity 4)
La 0.0000 0.5000 0.3757 (multiplicity 4)
La 0.5000 0.5000 0.0000 (multiplicity 1)
La 0.5000 0.5000 0.2513 (multiplicity 2)
La 0.5000 0.5000 0.5000 (multiplicity 1)
Sm 0.0000 0.0000 0.2508 (multiplicity 2)
Sm 0.0000 0.0000 0.5000 (multiplicity 1)

Energy: -4.69 eV per atom
D(E_F): 24.9 states/eV/f.u.
Total magnetic moment: 0.00 Bohr magnetons per cell

---

Entry 2:
The following is a PBE calculation of a geometry-optimized CaLa9Sm2 structure, from Alexandria.

Lattice parameters (Å, degrees): 5.2676 5.2676 15.8036 90.00 90.00 90.00
Space group P4/mmm (No. 123)
One atom of each set of equivalent atoms:
Ca 0.0000 0.0000 0.0000 (multiplicity 1)
La 0.0000 0.5000 0.1715 (multiplicity 4)
La 0.0000 0.5000 0.5000 (multiplicity 2)
La 0.5000 0.5000 0.0000 (multiplicity 1)
La 0.5000 0.5000 0.3344 (multiplicity 2)
Sm 0.0000 0.0000 0.3332 (multiplicity 2)

Energy: -4.63 eV per atom
D(E_F): 19.2 states/eV/f.u.
Total magnetic moment: 0.00 Bohr magnetons per cell

---

Entry 3:
The following is a PBE calculation of a geometry-optimized CaLaSm structure, from Alexandria.

Lattice parameters (Å, degrees): 3.7323 3.7323 9.3003 90.00 90.00 120.00
Space group P3m1 (No. 156)
One atom of each set of equivalent atoms:
Ca 0.0000 0.0000 0.0000 (multiplicity 1)
La 0.3333 0.6667 0.6478 (multiplicity 1)
Sm 0.6667 0.3333 0.3383 (multiplicity 1)

Energy: -3.84 eV per atom
D(E_F): 3.9 states/eV/f.u.
Total magnetic moment: 0.00 Bohr magnetons per cell
Energy above the lowest structure with this stoichiometry: 2 meV/atom

---

Across the entries above, energy relative to the elements takes the values 0.45, 0.55, 0.91 kcal/mol of atoms, respectively.